DFT (PBE) results for a geometry-optimized Ca2La6Tm structure.

Unit cell a=8.9115 b=11.7192 c=11.3386 alpha=130.06 beta=50.14 gamma=123.86
Fractional positions:
Ca: 0.4431 0.6970 0.8280
Ca: 0.1138 0.3620 0.6026
Ca: 0.5569 0.3030 0.1720
Ca: 0.8862 0.6380 0.3974
La: 0.4346 0.7112 0.4997
La: 0.1044 0.3520 0.2621
La: 0.5654 0.2888 0.5003
La: 0.8956 0.6480 0.7379
La: 0.7811 0.0183 0.3689
La: 0.4498 0.6938 0.1624
La: 0.2189 0.9817 0.6311
La: 0.5502 0.3062 0.8376
La: 0.8792 0.6467 0.0693
La: 0.2179 0.9703 0.2834
La: 0.1208 0.3533 0.9307
La: 0.7821 0.0297 0.7166
Tm: 0.2153 0.9722 0.9541
Tm: 0.7847 0.0278 0.0459

Formation energy = 0.54 eV/f.u.
SG = P-1